Entry 1:
{
  "formula": "RbIn2HgPd",
  "functional": "PBE",
  "state": "relaxed",
  "energy_ev_per_cell": -12.9,
  "formation_enthalpy_0k_mev_per_atom": -193,
  "crystal_system": "tetragonal",
  "polymorph_energy_ev_per_atom": 0.0000,
  "dos_at_fermi_per_ev_cell": 2.45,
  "lattice": [[5.278, 0.000, 0.000], [0.000, 5.278, 0.000], [0.000, 0.000, 5.510]],
  "species": ["Rb", "Hg", "Pd", "In", "In"],
  "frac_coords": [[0.500, 0.500, 0.500], [0.000, 0.000, 0.500], [0.000, 0.000, 0.000], [0.000, 0.500, 0.000], [0.500, 0.000, 0.000]]
}

=====

Entry 2:
{
  "formula": "InHg2PdRu",
  "functional": "PBE",
  "state": "relaxed",
  "energy_ev_per_cell": -11.4,
  "formation_enthalpy_0k_mev_per_atom": 1279,
  "crystal_system": "tetragonal",
  "dos_at_fermi_per_ev_cell": 3.63,
  "lattice": [[-2.398, -4.187, 2.139], [3.547, -0.181, 3.621], [-2.913, 3.208, 3.014]],
  "species": ["Ru", "Hg", "Hg", "Pd", "In"],
  "frac_coords": [[0.000, 0.500, 0.000], [0.000, 0.000, 0.500], [0.500, 0.000, 0.000], [0.500, 0.500, 0.500], [0.000, 0.000, 0.000]]
}

=====

Entry 3:
{
  "formula": "InHg2SbPd",
  "functional": "PBE",
  "state": "relaxed",
  "energy_ev_per_cell": -11.7,
  "crystal_system": "tetragonal",
  "dos_at_fermi_per_ev_cell": 3.66,
  "lattice": [[5.239, 0.000, 0.000], [0.000, 5.239, 0.000], [0.000, 0.000, 5.116]],
  "species": ["Sb", "Hg", "Hg", "Pd", "In"],
  "frac_coords": [[0.500, 0.500, 0.500], [0.000, 0.500, 0.000], [0.500, 0.000, 0.000], [0.000, 0.000, 0.000], [0.000, 0.000, 0.500]]
}

=====

Entry 4:
{
  "formula": "Sm4InHg2Pd",
  "functional": "PBE",
  "state": "relaxed",
  "energy_ev_per_cell": -31.8,
  "formation_enthalpy_0k_mev_per_atom": -545,
  "crystal_system": "trigonal",
  "dos_at_fermi_per_ev_cell": 5.97,
  "lattice": [[-1.711, -0.479, 5.006], [-4.385, -2.808, 1.051], [2.748, -8.203, 2.972]],
  "species": ["Sm", "Sm", "Sm", "Sm", "In", "Hg", "Hg", "Pd"],
  "frac_coords": [[0.383, 0.383, 0.850], [0.869, 0.869, 0.393], [0.131, 0.131, 0.607], [0.617, 0.617, 0.150], [0.000, 0.000, 0.000], [0.743, 0.743, 0.772], [0.257, 0.257, 0.228], [0.500, 0.500, 0.500]]
}

=====

Entry 5:
{
  "formula": "SrInHgPd3",
  "functional": "PBE",
  "state": "relaxed",
  "energy_ev_per_cell": -44.5,
  "formation_enthalpy_0k_mev_per_atom": -322,
  "crystal_system": "orthorhombic",
  "dos_at_fermi_per_ev_cell": 5.42,
  "lattice": [[6.606, 0.000, 0.000], [0.000, 6.413, 0.000], [0.000, -3.207, 6.456]],
  "species": ["Sr", "Sr", "In", "In", "Hg", "Hg", "Pd", "Pd", "Pd", "Pd", "Pd", "Pd"],
  "frac_coords": [[0.750, 0.322, 0.645], [0.250, 0.678, 0.355], [0.250, 0.358, 0.716], [0.750, 0.642, 0.284], [0.250, 0.914, 0.827], [0.750, 0.086, 0.173], [0.250, 0.146, 0.292], [0.000, 0.287, 0.000], [0.500, 0.713, 0.000], [0.500, 0.287, 0.000], [0.000, 0.713, 0.000], [0.750, 0.854, 0.708]]
}

=====

Entry 6:
{
  "formula": "Sr2InHg6Pd",
  "functional": "PBE",
  "state": "relaxed",
  "energy_ev_per_cell": -14.8,
  "formation_enthalpy_0k_mev_per_atom": -171,
  "crystal_system": "cubic",
  "dos_at_fermi_per_ev_cell": 5.58,
  "lattice": [[7.635, 0.000, 0.000], [0.000, 7.635, 0.000], [3.818, 3.817, 5.399]],
  "species": ["Sr", "Sr", "In", "Hg", "Hg", "Hg", "Hg", "Hg", "Hg", "Pd"],
  "frac_coords": [[0.250, 0.750, 0.500], [0.750, 0.250, 0.500], [0.000, 0.000, 0.000], [0.257, 0.743, 0.000], [0.743, 0.743, 0.000], [0.257, 0.257, 0.487], [0.743, 0.257, 0.000], [0.257, 0.257, 0.000], [0.743, 0.743, 0.513], [0.500, 0.500, 0.000]]
}

=====

Entry 7:
{
  "formula": "SrIn2HgPd",
  "functional": "PBE",
  "state": "relaxed",
  "energy_ev_per_cell": -14.1,
  "formation_enthalpy_0k_mev_per_atom": -297,
  "crystal_system": "tetragonal",
  "polymorph_energy_ev_per_atom": 0.0368,
  "dos_at_fermi_per_ev_cell": 3.27,
  "lattice": [[5.195, 0.000, 0.000], [0.000, 5.195, 0.000], [0.000, 0.000, 5.337]],
  "species": ["Sr", "Hg", "Pd", "In", "In"],
  "frac_coords": [[0.500, 0.500, 0.500], [0.000, 0.000, 0.500], [0.000, 0.000, 0.000], [0.000, 0.500, 0.000], [0.500, 0.000, 0.000]]
}

=====

Entry 8:
{
  "formula": "Sr2InHg2Pd5",
  "functional": "PBE",
  "state": "relaxed",
  "energy_ev_per_cell": -74.6,
  "formation_enthalpy_0k_mev_per_atom": -463,
  "crystal_system": "tetragonal",
  "dos_at_fermi_per_ev_cell": 8.25,
  "lattice": [[-3.345, -0.648, 1.920], [5.399, -1.719, 8.824], [-0.619, 10.197, 2.365]],
  "species": ["Sr", "Sr", "Sr", "Sr", "In", "In", "Hg", "Hg", "Hg", "Hg", "Pd", "Pd", "Pd", "Pd", "Pd", "Pd", "Pd", "Pd", "Pd", "Pd"],
  "frac_coords": [[0.000, 0.671, 0.171], [0.000, 0.329, 0.829], [0.000, 0.171, 0.329], [0.000, 0.829, 0.671], [0.000, 0.000, 0.000], [0.000, 0.500, 0.500], [0.000, 0.129, 0.629], [0.000, 0.871, 0.371], [0.000, 0.629, 0.871], [0.000, 0.371, 0.129], [0.500, 0.192, 0.057], [0.500, 0.808, 0.943], [0.500, 0.057, 0.808], [0.500, 0.692, 0.443], [0.500, 0.943, 0.192], [0.500, 0.308, 0.557], [0.500, 0.557, 0.692], [0.500, 0.443, 0.308], [0.500, 0.500, 0.000], [0.500, 0.000, 0.500]]
}

=====

Entry 9:
{
  "formula": "SrInHg2Pd",
  "functional": "PBE",
  "state": "relaxed",
  "energy_ev_per_cell": -11.6,
  "formation_enthalpy_0k_mev_per_atom": -283,
  "crystal_system": "tetragonal",
  "dos_at_fermi_per_ev_cell": 2.81,
  "lattice": [[-4.617, -1.811, 1.890], [-1.607, -1.064, -4.945], [2.000, -4.718, 0.365]],
  "species": ["Sr", "Hg", "Hg", "Pd", "In"],
  "frac_coords": [[0.500, 0.500, 0.500], [0.000, 0.500, 0.000], [0.500, 0.000, 0.000], [0.000, 0.000, 0.000], [0.000, 0.000, 0.500]]
}

=====

Entry 10:
{
  "formula": "Sr2In2HgPd5",
  "functional": "PBE",
  "state": "relaxed",
  "energy_ev_per_cell": -79.5,
  "formation_enthalpy_0k_mev_per_atom": -465,
  "crystal_system": "tetragonal",
  "dos_at_fermi_per_ev_cell": 7.26,
  "lattice": [[-1.546, 0.841, -3.239], [5.532, -8.025, -4.725], [-8.129, -6.842, 2.104]],
  "species": ["Sr", "Sr", "Sr", "Sr", "In", "In", "In", "In", "Hg", "Hg", "Pd", "Pd", "Pd", "Pd", "Pd", "Pd", "Pd", "Pd", "Pd", "Pd"],
  "frac_coords": [[0.000, 0.673, 0.173], [0.000, 0.327, 0.827], [0.000, 0.173, 0.327], [0.000, 0.827, 0.673], [0.000, 0.128, 0.628], [0.000, 0.872, 0.372], [0.000, 0.628, 0.872], [0.000, 0.372, 0.128], [0.000, 0.000, 0.000], [0.000, 0.500, 0.500], [0.500, 0.195, 0.059], [0.500, 0.805, 0.941], [0.500, 0.059, 0.805], [0.500, 0.695, 0.441], [0.500, 0.941, 0.195], [0.500, 0.305, 0.559], [0.500, 0.559, 0.695], [0.500, 0.441, 0.305], [0.500, 0.500, 0.000], [0.500, 0.000, 0.500]]
}

=====

Entry 11:
{
  "formula": "Sr2In3HgPd4",
  "functional": "PBE",
  "state": "relaxed",
  "energy_ev_per_cell": -38.3,
  "formation_enthalpy_0k_mev_per_atom": -566,
  "crystal_system": "tetragonal",
  "dos_at_fermi_per_ev_cell": 5.25,
  "lattice": [[4.763, 0.000, 0.000], [0.000, 4.763, 0.000], [0.000, 0.000, 10.656]],
  "species": ["Sr", "Sr", "In", "In", "In", "Hg", "Pd", "Pd", "Pd", "Pd"],
  "frac_coords": [[0.500, 0.000, 0.242], [0.000, 0.500, 0.758], [0.000, 0.000, 0.500], [0.500, 0.000, 0.881], [0.000, 0.500, 0.119], [0.500, 0.500, 0.500], [0.500, 0.500, 0.000], [0.000, 0.000, 0.000], [0.500, 0.000, 0.633], [0.000, 0.500, 0.367]]
}

=====

Entry 12:
{
  "formula": "SrIn2HgPd",
  "functional": "PBE",
  "state": "relaxed",
  "energy_ev_per_cell": -14.3,
  "formation_enthalpy_0k_mev_per_atom": -333,
  "crystal_system": "tetragonal",
  "polymorph_energy_ev_per_atom": 0.0000,
  "dos_at_fermi_per_ev_cell": 2.99,
  "lattice": [[5.303, 0.000, 0.000], [0.000, 5.303, 0.000], [0.000, 0.000, 5.922]],
  "species": ["Sr", "Hg", "Pd", "In", "In"],
  "frac_coords": [[0.000, 0.000, 0.500], [0.500, 0.500, 0.500], [0.000, 0.000, 0.000], [0.000, 0.500, 0.000], [0.500, 0.000, 0.000]]
}

=====

Entry 13:
{
  "formula": "Sr2InHg3Pd4",
  "functional": "PBE",
  "state": "relaxed",
  "energy_ev_per_cell": -32.4,
  "formation_enthalpy_0k_mev_per_atom": -465,
  "crystal_system": "tetragonal",
  "dos_at_fermi_per_ev_cell": 2.65,
  "lattice": [[4.461, 0.000, 0.000], [0.000, 4.461, 0.000], [0.000, 0.000, 11.978]],
  "species": ["Sr", "Sr", "In", "Hg", "Hg", "Hg", "Pd", "Pd", "Pd", "Pd"],
  "frac_coords": [[0.500, 0.000, 0.241], [0.000, 0.500, 0.759], [0.500, 0.500, 0.500], [0.000, 0.000, 0.500], [0.500, 0.000, 0.864], [0.000, 0.500, 0.136], [0.500, 0.500, 0.000], [0.000, 0.000, 0.000], [0.500, 0.000, 0.639], [0.000, 0.500, 0.361]]
}

=====

Entry 14:
{
  "formula": "Sr2In4HgPd3",
  "functional": "PBE",
  "state": "relaxed",
  "energy_ev_per_cell": -35.4,
  "formation_enthalpy_0k_mev_per_atom": -519,
  "crystal_system": "tetragonal",
  "dos_at_fermi_per_ev_cell": 4.01,
  "lattice": [[-1.857, -4.062, 1.841], [0.714, -2.239, -4.221], [9.787, -3.002, 3.247]],
  "species": ["Sr", "Sr", "In", "In", "In", "In", "Hg", "Pd", "Pd", "Pd"],
  "frac_coords": [[0.500, 0.000, 0.255], [0.000, 0.500, 0.745], [0.500, 0.500, 0.000], [0.000, 0.000, 0.000], [0.500, 0.000, 0.635], [0.000, 0.500, 0.365], [0.500, 0.500, 0.500], [0.000, 0.000, 0.500], [0.500, 0.000, 0.881], [0.000, 0.500, 0.119]]
}

=====

Entry 15:
{
  "formula": "InHgTe2Pd",
  "functional": "PBE",
  "state": "relaxed",
  "energy_ev_per_cell": -14.5,
  "crystal_system": "tetragonal",
  "dos_at_fermi_per_ev_cell": 3.16,
  "lattice": [[-4.898, 2.188, 0.640], [-1.998, -3.505, -3.310], [-0.958, -3.352, 4.128]],
  "species": ["Te", "Te", "Hg", "Pd", "In"],
  "frac_coords": [[0.000, 0.000, 0.500], [0.500, 0.000, 0.000], [0.000, 0.500, 0.000], [0.000, 0.000, 0.000], [0.500, 0.500, 0.500]]
}

=====

Entry 16:
{
  "formula": "ThInHgPd",
  "functional": "PBE",
  "state": "relaxed",
  "energy_ev_per_cell": -17.6,
  "formation_enthalpy_0k_mev_per_atom": -477,
  "crystal_system": "cubic",
  "dos_at_fermi_per_ev_cell": 2.38,
  "lattice": [[5.088, 0.000, 0.000], [2.544, 4.406, 0.000], [2.544, 1.469, 4.154]],
  "species": ["Pd", "Hg", "Th", "In"],
  "frac_coords": [[0.750, 0.750, 0.750], [0.250, 0.250, 0.250], [0.500, 0.500, 0.500], [0.000, 0.000, 0.000]]
}

=====

Entry 17:
{
  "formula": "Tl2InHgPd",
  "functional": "PBE",
  "state": "relaxed",
  "energy_ev_per_cell": -25.5,
  "formation_enthalpy_0k_mev_per_atom": 45,
  "crystal_system": "tetragonal",
  "polymorph_energy_ev_per_atom": 0.0903,
  "dos_at_fermi_per_ev_cell": 3.53,
  "lattice": [[4.120, 0.000, 0.000], [0.000, 4.120, 0.000], [0.000, 0.000, 15.218]],
  "species": ["Tl", "Tl", "Tl", "Tl", "In", "In", "Hg", "Hg", "Pd", "Pd"],
  "frac_coords": [[0.000, 0.500, 0.740], [0.000, 0.500, 0.106], [0.500, 0.000, 0.894], [0.500, 0.000, 0.260], [0.000, 0.000, 0.500], [0.500, 0.500, 0.500], [0.500, 0.000, 0.666], [0.000, 0.500, 0.334], [0.500, 0.000, 0.076], [0.000, 0.500, 0.924]]
}

=====

Entry 18:
{
  "formula": "Tl2InHgPd",
  "functional": "PBE",
  "state": "relaxed",
  "energy_ev_per_cell": -13.2,
  "formation_enthalpy_0k_mev_per_atom": -45,
  "crystal_system": "tetragonal",
  "polymorph_energy_ev_per_atom": 0.0000,
  "dos_at_fermi_per_ev_cell": 2.51,
  "lattice": [[5.359, 0.000, 0.000], [0.000, 5.359, 0.000], [0.000, 0.000, 5.241]],
  "species": ["Tl", "Tl", "Hg", "Pd", "In"],
  "frac_coords": [[0.000, 0.500, 0.000], [0.500, 0.000, 0.000], [0.500, 0.500, 0.500], [0.000, 0.000, 0.000], [0.000, 0.000, 0.500]]
}

=====

Entry 19:
{
  "formula": "TmInHgPd",
  "functional": "PBE",
  "state": "relaxed",
  "energy_ev_per_cell": -14.9,
  "formation_enthalpy_0k_mev_per_atom": -551,
  "crystal_system": "cubic",
  "dos_at_fermi_per_ev_cell": 1.60,
  "lattice": [[-1.904, 4.464, -0.765], [-0.804, 1.575, -4.584], [-4.598, 0.457, -1.670]],
  "species": ["Tm", "Hg", "Pd", "In"],
  "frac_coords": [[0.250, 0.250, 0.250], [0.500, 0.500, 0.500], [0.000, 0.000, 0.000], [0.750, 0.750, 0.750]]
}

=====

Entry 20:
{
  "formula": "YInHgPd2",
  "functional": "PBE",
  "state": "relaxed",
  "energy_ev_per_cell": -19.3,
  "formation_enthalpy_0k_mev_per_atom": 124,
  "crystal_system": "tetragonal",
  "dos_at_fermi_per_ev_cell": 3.27,
  "lattice": [[-1.179, -0.218, 4.857], [4.933, -0.779, 1.163], [0.689, 4.939, 0.389]],
  "species": ["Y", "Hg", "Pd", "Pd", "In"],
  "frac_coords": [[0.500, 0.500, 0.500], [0.000, 0.500, 0.000], [0.000, 0.000, 0.500], [0.500, 0.000, 0.000], [0.000, 0.000, 0.000]]
}

=====

Entry 21:
{
  "formula": "Pm3In2Hg8",
  "functional": "PBE",
  "state": "relaxed",
  "energy_ev_per_cell": -23.8,
  "formation_enthalpy_0k_mev_per_atom": -127,
  "crystal_system": "trigonal",
  "dos_at_fermi_per_ev_cell": 10.42,
  "lattice": [[6.095, 0.000, 0.000], [3.047, 5.278, 0.000], [3.047, 1.759, 11.219]],
  "species": ["Pm", "Pm", "Pm", "In", "In", "Hg", "Hg", "Hg", "Hg", "Hg", "Hg", "Hg", "Hg"],
  "frac_coords": [[0.000, 0.000, 0.000], [0.811, 0.811, 0.567], [0.189, 0.189, 0.433], [0.634, 0.634, 0.099], [0.366, 0.366, 0.901], [0.718, 0.718, 0.845], [0.282, 0.282, 0.155], [0.225, 0.726, 0.323], [0.726, 0.225, 0.323], [0.726, 0.726, 0.323], [0.274, 0.775, 0.677], [0.775, 0.274, 0.677], [0.274, 0.274, 0.677]]
}

=====

Entry 22:
{
  "formula": "Pm8In6Hg",
  "functional": "PBE",
  "state": "relaxed",
  "energy_ev_per_cell": -58.6,
  "formation_enthalpy_0k_mev_per_atom": -260,
  "crystal_system": "trigonal",
  "dos_at_fermi_per_ev_cell": 20.33,
  "lattice": [[-8.161, -2.396, 3.982], [-2.402, -9.052, 0.706], [-0.689, -4.129, 7.178]],
  "species": ["Pm", "Pm", "Pm", "Pm", "Pm", "Pm", "Pm", "Pm", "In", "In", "In", "In", "In", "In", "Hg"],
  "frac_coords": [[0.633, 0.151, 0.328], [0.849, 0.112, 0.672], [0.112, 0.367, 0.672], [0.707, 0.707, 0.879], [0.293, 0.293, 0.121], [0.888, 0.633, 0.328], [0.151, 0.888, 0.328], [0.367, 0.849, 0.672], [0.422, 0.087, 0.830], [0.913, 0.339, 0.170], [0.339, 0.578, 0.170], [0.661, 0.422, 0.830], [0.087, 0.661, 0.830], [0.578, 0.913, 0.170], [0.000, 0.000, 0.000]]
}

=====

Entry 23:
{
  "formula": "PmIn2Hg3",
  "functional": "PBE",
  "state": "relaxed",
  "energy_ev_per_cell": -24.4,
  "formation_enthalpy_0k_mev_per_atom": -178,
  "crystal_system": "orthorhombic",
  "polymorph_energy_ev_per_atom": 0.0301,
  "dos_at_fermi_per_ev_cell": 4.49,
  "lattice": [[6.110, 0.000, 0.000], [0.000, 8.200, -4.184], [0.000, -1.548, 7.094]],
  "species": ["Pm", "Pm", "In", "In", "In", "In", "Hg", "Hg", "Hg", "Hg", "Hg", "Hg"],
  "frac_coords": [[0.750, 0.259, 0.518], [0.250, 0.741, 0.482], [0.000, 0.675, 0.000], [0.500, 0.325, 0.000], [0.000, 0.325, 0.000], [0.500, 0.675, 0.000], [0.750, 0.980, 0.961], [0.250, 0.020, 0.039], [0.750, 0.903, 0.482], [0.250, 0.097, 0.518], [0.750, 0.579, 0.482], [0.250, 0.421, 0.518]]
}

=====

Entry 24:
{
  "formula": "PmInHg6",
  "functional": "PBE",
  "state": "relaxed",
  "energy_ev_per_cell": -8.7,
  "formation_enthalpy_0k_mev_per_atom": 76,
  "crystal_system": "trigonal",
  "dos_at_fermi_per_ev_cell": 4.01,
  "lattice": [[6.149, 0.000, 1.374], [2.921, 5.411, 1.374], [1.284, 0.766, 8.705]],
  "species": ["Pm", "In", "Hg", "Hg", "Hg", "Hg", "Hg", "Hg"],
  "frac_coords": [[0.000, 0.000, 0.000], [0.500, 0.500, 0.500], [0.069, 0.069, 0.308], [0.069, 0.553, 0.308], [0.447, 0.931, 0.692], [0.931, 0.447, 0.692], [0.931, 0.931, 0.692], [0.553, 0.069, 0.308]]
}